Compound: AgBiF5
Source: Alexandria via LeMat-Bulk
Functional: PBE-GGA
Structure: relaxed

Unit cell a=6.018 b=6.018 c=7.582 alpha=74.59 beta=74.59 gamma=80.70
Element x y z (fractional)
Ag1 0.000 0.000 0.000
Ag2 0.000 0.000 0.500
Bi1 0.554 0.446 0.250
Bi2 0.446 0.554 0.750
F1 0.801 0.714 0.135
F2 0.329 0.653 0.453
F3 0.714 0.801 0.635
F4 0.864 0.136 0.250
F5 0.347 0.671 0.047
F6 0.653 0.329 0.953
F7 0.136 0.864 0.750
F8 0.286 0.199 0.365
F9 0.671 0.347 0.547
F10 0.199 0.286 0.865

energy: -58.51 eV per cell
E_form (uncorrected): -1881 meV/atom
SG: C2/c (15)

=====

Compound: LiTl3Ge
Source: Alexandria via LeMat-Bulk
Functional: PBE-GGA
Structure: relaxed

Unit cell a=5.634 b=5.634 c=5.634 alpha=90.00 beta=90.00 gamma=90.00
Element x y z (fractional)
Tl1 0.000 0.500 0.000
Tl2 0.000 0.000 0.500
Tl3 0.500 0.000 0.000
Ge1 0.000 0.000 0.000
Li1 0.500 0.500 0.500

energy: -12.16 eV per cell
SG: Pm-3m (221)
energy relative to the elements: 0.293 eV per atom

=====

Compound: PmDy2Y5Sc
Source: Alexandria via LeMat-Bulk
Functional: PBE-GGA
Structure: relaxed

Unit cell a=5.572 b=10.323 c=10.406 alpha=90.00 beta=90.00 gamma=105.66
Element x y z (fractional)
Pm1 0.588 0.177 0.950
Pm2 0.412 0.823 0.450
Dy1 0.889 0.779 0.814
Dy2 0.114 0.228 0.736
Dy3 0.111 0.221 0.314
Dy4 0.886 0.772 0.236
Y1 0.372 0.745 0.021
Y2 0.726 0.452 0.829
Y3 0.481 0.961 0.738
Y4 0.298 0.596 0.703
Y5 0.982 0.965 0.518
Y6 0.628 0.255 0.521
Y7 0.274 0.548 0.329
Y8 0.519 0.039 0.238
Y9 0.702 0.404 0.203
Y10 0.018 0.035 0.018
Sc1 0.807 0.614 0.516
Sc2 0.193 0.386 0.016

energy: -102.23 eV per cell
SG: Cmc2_1 (36)
energy relative to the elements: 0.166 eV per atom

=====

Compound: MgPbBr2
Source: Alexandria via LeMat-Bulk
Functional: PBE-GGA
Structure: relaxed

Unit cell a=8.222 b=8.222 c=6.756 alpha=52.52 beta=52.52 gamma=90.00
Element x y z (fractional)
Pb1 0.000 0.000 0.000
Pb2 0.750 0.250 0.500
Mg1 0.500 0.500 0.000
Mg2 0.250 0.750 0.500
Br1 0.572 0.125 0.250
Br2 0.178 0.625 0.250
Br3 0.375 0.428 0.750
Br4 0.875 0.822 0.750

energy: -21.60 eV per cell
E_form (uncorrected): -538 meV/atom
SG: I-42d (122)

=====

Compound: NpP2Os2
Source: Alexandria via LeMat-Bulk
Functional: PBE-GGA
Structure: relaxed

Unit cell a=4.049 b=4.049 c=5.668 alpha=110.93 beta=110.93 gamma=90.00
Element x y z (fractional)
Np1 0.000 0.000 0.000
P1 0.624 0.624 0.248
P2 0.376 0.376 0.752
Os1 0.750 0.250 0.500
Os2 0.250 0.750 0.500

energy: -48.44 eV per cell
SG: I4/mmm (139)
energy relative to the elements: -0.444 eV per atom

=====

Compound: CeYTm
Source: Alexandria via LeMat-Bulk
Functional: PBE-GGA
Structure: relaxed

Unit cell a=5.340 b=3.460 c=10.148 alpha=99.83 beta=90.01 gamma=90.00
Element x y z (fractional)
Ce1 0.847 0.785 0.993
Ce2 0.347 0.204 0.831
Y1 0.347 0.378 0.179
Y2 0.847 0.612 0.644
Tm1 0.347 0.038 0.495
Tm2 0.847 0.952 0.328

energy: -33.20 eV per cell
SG: P2_1/m (11)
energy relative to the elements: 0.090 eV per atom

=====

Compound: Sr2BrCl
Source: Alexandria via LeMat-Bulk
Functional: PBE-GGA
Structure: relaxed

Unit cell a=3.992 b=7.900 c=4.806 alpha=90.00 beta=90.00 gamma=90.00
Element x y z (fractional)
Sr1 0.000 0.000 0.000
Sr2 0.500 0.500 0.000
Br1 0.500 0.000 0.500
Cl1 0.000 0.500 0.500

energy: -12.62 eV per cell
E_form (uncorrected): -1433 meV/atom
SG: Pmmm (47)

=====

Compound: CsKBeSi2
Source: Alexandria via LeMat-Bulk
Functional: PBE-GGA
Structure: relaxed

Unit cell a=5.993 b=6.093 c=5.993 alpha=90.00 beta=90.00 gamma=90.00
Element x y z (fractional)
Cs1 0.000 0.000 0.000
Be1 0.000 0.500 0.000
K1 0.500 0.500 0.500
Si1 0.000 0.000 0.500
Si2 0.500 0.000 0.000

energy: -7.54 eV per cell
E_form (uncorrected): 1796 meV/atom
SG: P4/mmm (123)